(1)
An optimized crystal structure of CsBi3Pt, computed with PBEsol.

Results
Its excess energy over the best structure of this formula in the dataset is 2.059 eV/atom. The calculation puts the formation energy at 2.130 eV/atom. The calculation puts the total magnetization at 0.00 μB per cell. The density of states at the Fermi level comes out at 7.57 states/eV per cell. The space group is No. 221.

a b c (Å): 6.009 6.009 6.009
angles (deg): 90.00 90.00 90.00
Element x y z (fractional)
Bi  0.000  0.500  0.000
Bi  0.000  0.000  0.500
Cs  0.000  0.000  0.000
Pt  0.500  0.500  0.500
Bi  0.500  0.000  0.000

(2)
An optimized crystal structure of CuSnI2N, computed with PBEsol.

Results
The calculation puts the total magnetization at 0.04 μB per cell. The density of states at the Fermi level comes out at 2.89 states/eV per cell. The space group is No. 123. As for the energy relative to the elements, uncorrected: 0.84 eV per atom.

a b c (Å): 3.837 5.906 5.906
angles (deg): 90.00 90.00 90.00
Element x y z (fractional)
Cu  0.500  0.500  0.500
I  0.000  0.500  0.000
Sn  0.000  0.000  0.000
N  0.500  0.000  0.000
I  0.000  0.000  0.500

(3)
An optimized crystal structure of BaAsOs2, computed with PBEsol.

Results
The calculation puts the formation energy at 1.238 eV/atom. The calculation puts the total magnetization at 0.00 μB per cell. The density of states at the Fermi level comes out at 4.51 states/eV per cell. The space group is No. 47.

a b c (Å): 2.914 4.987 5.313
angles (deg): 90.00 90.00 90.00
Element x y z (fractional)
Os  0.000  0.000  0.000
Ba  0.000  0.500  0.500
Os  0.500  0.500  0.000
As  0.500  0.000  0.500

(4)
An optimized crystal structure of CaIn2Au, computed with PBEsol.

Results
The calculation puts the formation energy at -0.421 eV/atom. The calculation puts the total magnetization at 0.00 μB per cell. The density of states at the Fermi level comes out at 1.59 states/eV per cell. The space group is No. 6.

a b c (Å): 3.788 4.263 6.293
angles (deg): 90.00 107.69 90.00
Element x y z (fractional)
Ca  0.412  0.500  0.699
Au  0.831  0.000  0.538
In  0.680  0.500  0.234
In  0.077  0.000  0.029

(5)
An optimized crystal structure of Tc3OsS, computed with PBEsol.

Results
The calculation puts the total magnetization at 2.68 μB per cell. The density of states at the Fermi level comes out at 7.83 states/eV per cell. The space group is No. 221. As for the energy relative to the elements, uncorrected: 2.12 eV per atom.

a b c (Å): 4.648 4.648 4.648
angles (deg): 90.00 90.00 90.00
Last column: magnetic moment on the atom in μB.
Element x y z (fractional)
S  0.500  0.500  0.500  0.01
Tc  0.500  0.000  0.000  0.85
Tc  0.000  0.500  0.000  0.85
Tc  0.000  0.000  0.500  0.85
Os  0.000  0.000  0.000  -0.07

(6)
An optimized crystal structure of Rb2NaTbF6, computed with PBEsol.

Results
The calculation puts the total magnetization at 0.00 μB per cell. The density of states at the Fermi level comes out at 0.00 states/eV per cell. The space group is No. 225. As for the energy relative to the elements, uncorrected: -3.33 eV per atom.

a b c (Å): 6.256 6.256 6.256
angles (deg): 60.00 60.00 60.00
Element x y z (fractional)
F  0.755  0.245  0.755
Tb  0.000  0.000  0.000
Rb  0.250  0.250  0.250
F  0.755  0.755  0.245
F  0.245  0.755  0.245
F  0.245  0.245  0.755
Na  0.500  0.500  0.500
F  0.755  0.245  0.245
F  0.245  0.755  0.755
Rb  0.750  0.750  0.750

Raw total energy (eV/atom)
-2.022 -3.291 -6.684 -3.426 -7.958 -5.331